Record 1
Crystalline LiMnSbRu at its relaxed geometry. Source: Alexandria via LeMat-Bulk, functional PBE.

For the energy relative to the elements, uncorrected, the calculation gives -0.83 eV/f.u.

It has space group F-43m (No. 216), with a = 6.221 Å, b = 6.221 Å, c = 6.221 Å, α = 90.00°, β = 90.00° and γ = 90.00°. The distinct sites, in fractional coordinates, are Li at (0.000, 0.000, 0.000), Mn at (0.250, 0.250, 0.750), Sb at (0.250, 0.250, 0.250) and Ru at (0.000, 0.000, 0.500).

Record 2
Crystalline LiSmMnRu at its relaxed geometry. Source: Alexandria via LeMat-Bulk, functional PBE.

The calculation puts the formation energy at 0.099 eV/atom.

It has space group F-43m (No. 216), with a = 6.612 Å, b = 6.612 Å, c = 6.612 Å, α = 90.00°, β = 90.00° and γ = 90.00°. The distinct sites, in fractional coordinates, are Li at (0.000, 0.000, 0.000), Sm at (0.250, 0.250, 0.750), Mn at (0.250, 0.250, 0.250) and Ru at (0.000, 0.000, 0.500).